Record 1
Al3SiBi: optimized geometry, PBE.

Properties
The electronic total energy is -3.74 eV/atom. For the density of states at the Fermi level, the calculation gives 0.290 states/eV per atom. The space group is Pm-3m, No. 221.

POSCAR file:
```
Al3SiBi
1.0
4.8722 0.0000 0.0000
0.0000 4.8722 0.0000
0.0000 0.0000 4.8722
Al Si Bi
3 1 1
direct
0.0000 0.0000 0.5000
0.0000 0.5000 0.0000
0.5000 0.0000 0.0000
0.0000 0.0000 0.0000
0.5000 0.5000 0.5000
```


Record 2
Hf2PdPb: optimized geometry, PBE.

Properties
The electronic total energy is -7.24 eV/atom. For the density of states at the Fermi level, the calculation gives 0.906 states/eV per atom. The value obtained for the formation energy from the elements is -4 kJ per mole of atoms. The space group is R-3m, No. 166.

POSCAR file:
```
Hf2PdPb
1.0
2.1824 1.2600 5.5746
-2.1824 1.2600 5.5746
0.0000 -2.5200 5.5746
Hf Pd Pb
2 1 1
direct
0.2322 0.2322 0.2322
0.7678 0.7678 0.7678
0.5000 0.5000 0.5000
0.0000 0.0000 0.0000
```


Record 3
Rb2SnHgH6: optimized geometry, PBE.

Properties
The electronic total energy is -2.61 eV/atom. For the density of states at the Fermi level, the calculation gives 0.050 states/eV per atom. The space group is I4/mmm, No. 139.

POSCAR file:
```
Rb2SnHgH6
1.0
-3.0843 3.0843 4.4932
3.0843 -3.0843 4.4932
3.0843 3.0843 -4.4932
Rb Sn Hg H
2 1 1 6
direct
0.2500 0.7500 0.5000
0.7500 0.2500 0.5000
0.0000 0.0000 0.0000
0.5000 0.5000 0.0000
0.2141 0.2141 0.0000
0.2190 0.2190 0.4381
0.2190 0.7810 0.0000
0.7810 0.2190 0.0000
0.7810 0.7810 0.5619
0.7859 0.7859 0.0000
```


Record 4
NaTl4In5: optimized geometry, PBE.

Properties
The electronic total energy is -2.47 eV/atom. For the density of states at the Fermi level, the calculation gives 0.372 states/eV per atom. The value obtained for the formation energy from the elements is -2 kJ per mole of atoms. The space group is P-1, No. 2.

POSCAR file:
```
NaTl4In5
1.0
4.5530 0.0000 0.0000
-0.0246 7.1131 0.0000
-2.1565 -1.9699 8.7103
Na Tl In
1 4 5
direct
0.0000 0.0000 0.0000
0.1980 0.0927 0.3954
0.4040 0.7036 0.8075
0.5960 0.2964 0.1925
0.8020 0.9073 0.6046
0.0000 0.5000 0.0000
0.2007 0.5945 0.4019
0.3960 0.2206 0.7943
0.6040 0.7794 0.2057
0.7993 0.4055 0.5981
```


Record 5
Ni2BiTe2: optimized geometry, PBE.

Properties
The electronic total energy is -4.43 eV/atom. For the density of states at the Fermi level, the calculation gives 0.713 states/eV per atom. The space group is R-3m, No. 166.

POSCAR file:
```
Ni2BiTe2
1.0
1.9680 1.1362 8.5021
-1.9680 1.1362 8.5021
0.0000 -2.2724 8.5021
Ni Bi Te
2 1 2
direct
0.0975 0.0975 0.0975
0.9025 0.9025 0.9025
0.5000 0.5000 0.5000
0.2762 0.2762 0.2762
0.7238 0.7238 0.7238
```


Record 6
Nd5Si2Sb: optimized geometry, PBE.

Properties
The electronic total energy is -5.57 eV/atom. For the density of states at the Fermi level, the calculation gives 1.149 states/eV per atom. The space group is I4/mcm, No. 140.

POSCAR file:
```
Nd5Si2Sb
1.0
-3.9633 3.9633 7.1752
3.9633 -3.9633 7.1752
3.9633 3.9633 -7.1752
Nd Si Sb
10 4 2
direct
0.0000 0.0000 0.0000
0.0316 0.5316 0.8422
0.1894 0.0316 0.5000
0.3106 0.8106 0.8422
0.4684 0.3106 0.5000
0.5000 0.5000 0.0000
0.5316 0.6894 0.5000
0.6894 0.1894 0.1578
0.8106 0.9684 0.5000
0.9684 0.4684 0.1578
0.1205 0.3795 0.5000
0.3795 0.8795 0.2591
0.6205 0.1205 0.7409
0.8795 0.6205 0.5000
0.2500 0.2500 0.0000
0.7500 0.7500 0.0000
```


Record 7
Mo4C: optimized geometry, PBE.

Properties
The electronic total energy is -10.33 eV/atom. For the density of states at the Fermi level, the calculation gives 1.080 states/eV per atom. The value obtained for the formation energy from the elements is 17 kJ per mole of atoms. The space group is Pm-3m, No. 221.

POSCAR file:
```
Mo4C
1.0
4.1549 0.0000 0.0000
0.0000 4.1549 0.0000
0.0000 0.0000 4.1549
Mo C
4 1
direct
0.0000 0.0000 0.0000
0.0000 0.5000 0.5000
0.5000 0.0000 0.5000
0.5000 0.5000 0.0000
0.5000 0.5000 0.5000
```


Record 8
SrZnRu2: optimized geometry, PBE.

Properties
The electronic total energy is -4.89 eV/atom. For the density of states at the Fermi level, the calculation gives 1.443 states/eV per atom. The value obtained for the formation energy from the elements is 47 kJ per mole of atoms. The space group is P2/m, No. 10.

POSCAR file:
```
SrZnRu2
1.0
2.9111 0.0000 0.0000
0.0000 4.4781 0.0000
-1.0407 0.0000 5.9110
Sr Zn Ru
1 1 2
direct
0.0000 0.0000 0.0000
0.5000 0.0000 0.5000
0.3024 0.5000 0.6785
0.6976 0.5000 0.3215
```


Record 9
TaSnOs3: optimized geometry, PBE.

Properties
The electronic total energy is -7.90 eV/atom. For the density of states at the Fermi level, the calculation gives 1.657 states/eV per atom. The value obtained for the formation energy from the elements is 194 kJ per mole of atoms. The space group is Pm-3m, No. 221.

POSCAR file:
```
TaSnOs3
1.0
4.7899 0.0000 0.0000
0.0000 4.7899 0.0000
0.0000 0.0000 4.7899
Ta Sn Os
1 1 3
direct
0.0000 0.0000 0.0000
0.5000 0.5000 0.5000
0.0000 0.0000 0.5000
0.0000 0.5000 0.0000
0.5000 0.0000 0.0000
```


Record 10
Tb2NdHf: optimized geometry, PBE.

Properties
The electronic total energy is -5.61 eV/atom. For the density of states at the Fermi level, the calculation gives 1.433 states/eV per atom. The value obtained for the formation energy from the elements is 37 kJ per mole of atoms. The space group is R-3m, No. 166.

POSCAR file:
```
Tb2NdHf
1.0
1.6848 0.9727 12.1236
-1.6848 0.9727 12.1236
0.0000 -1.9454 12.1236
Tb Nd Hf
2 1 1
direct
0.0850 0.0850 0.0850
0.9150 0.9150 0.9150
0.5000 0.5000 0.5000
0.0000 0.0000 0.0000
```


Record 11
Sm2BeSiC: optimized geometry, PBE.

Properties
The electronic total energy is -6.02 eV/atom. For the density of states at the Fermi level, the calculation gives 0.222 states/eV per atom. The space group is P2_1/m, No. 11.

POSCAR file:
```
Sm2BeSiC
1.0
6.4631 0.0000 0.0000
0.0000 3.8166 0.0000
-2.4773 0.0000 7.7249
Sm Be Si C
4 2 2 2
direct
0.2037 0.2500 0.3922
0.2178 0.2500 0.9616
0.7822 0.7500 0.0384
0.7963 0.7500 0.6078
0.4532 0.7500 0.2459
0.5468 0.2500 0.7541
0.3399 0.7500 0.7034
0.6601 0.2500 0.2966
0.1780 0.7500 0.1748
0.8220 0.2500 0.8252
```


Record 12
Ti6VSn: optimized geometry, PBE.

Properties
The electronic total energy is -7.62 eV/atom. For the density of states at the Fermi level, the calculation gives 1.132 states/eV per atom. The value obtained for the formation energy from the elements is -6 kJ per mole of atoms. The space group is Amm2, No. 38.

POSCAR file:
```
Ti6VSn
1.0
4.6942 0.0000 0.0000
0.0000 2.9244 5.0347
0.0000 -2.9244 5.0347
Ti V Sn
6 1 1
direct
0.0000 0.0000 0.0000
0.0000 0.5096 0.9983
0.0000 0.9983 0.5096
0.5000 0.3311 0.3311
0.5000 0.3312 0.8368
0.5000 0.8368 0.3312
0.5000 0.8351 0.8351
0.0000 0.5017 0.5017
```